First-principles (PBE) data for a relaxed structure of PuSnO6, as listed in Alexandria.

Properties
**Total magnetization**: 0.02 μB/f.u.
**Symmetry**: C2/m, No. 12
**Calculated total energy**: -7.33 eV/atom

abc: 6.170 5.293 7.145
angles: 67.98 49.97 54.35
Site moments in Bohr magnetons follow the coordinates.
Fractional coordinates of all 8 atoms:
O: 0.006 0.698 0.272  0.02
O: 0.405 0.000 0.847  0.02
Sn: 0.500 0.000 0.500  0.00
O: 0.595 0.000 0.153  0.02
O: 0.296 0.698 0.728  0.02
O: 0.704 0.302 0.272  0.02
Pu: 0.000 0.000 0.000  -0.15
O: 0.994 0.302 0.728  0.02